Entry 1:
Er3AlGa2: optimized geometry, PBE.

```
Er3AlGa2
1.0
4.443 0.000 0.000
0.000 10.833 0.000
0.000 0.000 11.555
Al Er Ga
4 12 8
Cartesian
1.111 4.311 7.226
3.332 9.728 10.106
3.332 6.522 4.328
1.111 1.105 1.449
3.332 9.434 5.247
3.332 1.923 3.390
1.111 0.963 9.887
1.111 4.017 0.531
1.111 7.340 2.388
3.332 9.870 1.667
1.111 4.453 4.110
3.332 6.380 7.444
3.332 6.816 11.024
1.111 8.910 8.165
3.332 3.493 9.167
1.111 1.400 6.308
1.111 10.554 3.668
3.332 0.279 7.886
1.111 9.025 11.390
1.111 7.225 5.613
3.332 3.609 5.942
1.111 5.696 9.445
3.332 1.808 0.165
3.332 5.137 2.109
```

The calculation puts the energy relative to the elements at -511 meV per atom. The density of states at the Fermi level comes out at 17.77 states/eV per cell. Its spin magnetization is 0.000 μB per cell. Its polymorph energy (0 for the lowest one) is 0.0000 eV per atom.



Entry 2:
PrCd2Ag: optimized geometry, PBE.

```
PrCd2Ag
1.0
4.944 0.000 0.000
0.000 4.522 0.000
0.000 0.000 4.522
Cd Ag Pr
2 1 1
Cartesian
0.000 0.000 2.261
0.000 2.261 0.000
2.472 0.000 0.000
2.472 2.261 2.261
```

The calculation puts the energy relative to the elements at -177 meV per atom. The density of states at the Fermi level comes out at 3.18 states/eV per cell. Its spin magnetization is 0.000 μB per cell.



Entry 3:
Co3BiBr: optimized geometry, PBE.

```
Co3BiBr
1.0
5.058 0.000 0.000
0.000 5.058 0.000
0.000 0.000 5.058
Co Bi Br
3 1 1
Cartesian
0.000 2.529 0.000
0.000 0.000 2.529
2.529 0.000 0.000
0.000 0.000 0.000
2.529 2.529 2.529
```

The density of states at the Fermi level comes out at 6.90 states/eV per cell. The uncorrected formation energy comes out at 1.364 eV per atom. Its spin magnetization is 6.997 μB per cell. Its polymorph energy (0 for the lowest one) is 0.3598 eV per atom.



Entry 4:
GdNiSn: optimized geometry, PBE.

```
GdNiSn
1.0
3.667 0.000 0.000
0.000 4.515 0.000
0.000 -2.257 3.910
Gd Ni Sn
1 1 1
Cartesian
2.444 0.000 2.607
0.612 2.257 1.303
0.611 0.000 0.000
```

The calculation puts the energy relative to the elements at -598 meV per atom. The density of states at the Fermi level comes out at 1.27 states/eV per cell. Its spin magnetization is 7.050 μB per cell.



| no. | raw total energy (eV/atom) |
| --- | --- |
| 1 | -4.425 |
| 2 | -2.542 |
| 3 | -4.010 |
| 4 | -8.553 |